i) Material: Pb2CCl2O3
Method: DFT, meta-GGA SCAN
State: PBEsol geometry

* total magnetization: 0.00 μB/f.u.
* symmetry: No. 1

Unit cell a=8.192 b=8.736 c=8.781 alpha=86.28 beta=88.61 gamma=87.44
Element x y z (fractional)
1 Pb 0.000 0.000 0.000
2 Pb 0.006 0.479 0.000
3 Pb 0.088 0.997 0.491
4 Pb 0.125 0.475 0.503
5 Pb 0.489 0.900 0.749
6 Pb 0.524 0.342 0.779
7 Pb 0.588 0.821 0.239
8 Pb 0.611 0.345 0.278
9 C 0.116 0.724 0.782
10 C 0.467 0.627 0.513
11 C 0.650 0.611 0.989
12 C 0.995 0.724 0.290
13 Cl 0.163 0.220 0.769
14 Cl 0.272 0.951 0.189
15 Cl 0.349 0.423 0.048
16 Cl 0.440 0.135 0.489
17 Cl 0.646 0.108 0.028
18 Cl 0.780 0.413 0.544
19 Cl 0.817 0.973 0.693
20 Cl 0.955 0.227 0.249
21 O 0.036 0.595 0.237
22 O 0.042 0.742 0.430
23 O 0.072 0.598 0.731
24 O 0.078 0.744 0.925
25 O 0.196 0.827 0.702
26 O 0.397 0.547 0.623
27 O 0.460 0.588 0.374
28 O 0.538 0.752 0.538
29 O 0.559 0.736 0.975
30 O 0.689 0.530 0.876
31 O 0.710 0.574 0.123
32 O 0.909 0.833 0.220


ii) Material: Pb2CCl2O3
Method: DFT, meta-GGA SCAN
State: PBEsol geometry

* total magnetization: 0.00 μB/f.u.
* symmetry: No. 127

Unit cell a=8.067 b=8.067 c=8.859 alpha=90.00 beta=90.00 gamma=90.00
Element x y z (fractional)
1 Pb 0.165 0.335 0.238
2 Pb 0.165 0.335 0.762
3 Pb 0.335 0.835 0.238
4 Pb 0.335 0.835 0.762
5 Pb 0.665 0.165 0.238
6 Pb 0.665 0.165 0.762
7 Pb 0.835 0.665 0.238
8 Pb 0.835 0.665 0.762
9 C 0.179 0.679 0.500
10 C 0.321 0.179 0.500
11 C 0.679 0.821 0.500
12 C 0.821 0.321 0.500
13 Cl 0.000 0.000 0.252
14 Cl 0.000 0.000 0.748
15 Cl 0.146 0.646 0.000
16 Cl 0.354 0.146 0.000
17 Cl 0.500 0.500 0.252
18 Cl 0.500 0.500 0.748
19 Cl 0.646 0.854 0.000
20 Cl 0.854 0.354 0.000
21 O 0.128 0.628 0.370
22 O 0.128 0.628 0.630
23 O 0.207 0.293 0.500
24 O 0.293 0.793 0.500
25 O 0.372 0.128 0.370
26 O 0.372 0.128 0.630
27 O 0.628 0.872 0.370
28 O 0.628 0.872 0.630
29 O 0.707 0.207 0.500
30 O 0.793 0.707 0.500
31 O 0.872 0.372 0.370
32 O 0.872 0.372 0.630


Order of stability, best first: ii), i)